VASP calculation (PBE) on a relaxed structure of HfRe5Hg3.

## Properties
Symmetry   P-62m, No. 189
Formation energy   796 meV per atom
Final energy   -65.8 eV per cell
Crystal system   hexagonal

a = 6.4934 Å, b = 6.4934 Å, c = 4.5570 Å
α = 90.00°, β = 90.00°, γ = 120.00°
Fractional positions:
Hf 0.0000 0.0000 0.5000
Hg 0.5392 0.0000 0.5000
Hg 0.4608 0.4608 0.5000
Hg 0.0000 0.5392 0.5000
Re 0.2453 0.0000 0.0000
Re 0.0000 0.2453 0.0000
Re 0.6667 0.3333 0.0000
Re 0.3333 0.6667 0.0000
Re 0.7547 0.7547 0.0000

VASP calculation (PBE) on a relaxed structure of Lu2CdAs.

## Properties
Symmetry   F-43m, No. 216
Final energy   -14.4 eV per cell
Crystal system   cubic

a = 5.1501 Å, b = 5.1501 Å, c = 5.1501 Å
α = 60.00°, β = 60.00°, γ = 60.00°
Fractional positions:
As 0.5000 0.5000 0.5000
Cd 0.2500 0.2500 0.2500
Lu 0.0000 0.0000 0.0000
Lu 0.7500 0.7500 0.7500